Record 1
# ZnGaPd

A relaxed structure of ZnGaPd (PBE, Alexandria).

a = 2.888 Å, b = 4.321 Å, c = 4.321 Å
α = 120.00°, β = 90.00°, γ = 90.00°
Fractional positions:
Pd1 0.521 0.667 0.333
Ga1 0.471 0.333 0.667
Zn1 0.009 0.000 0.000

Properties
Space group: P3m1, No. 156
Spin magnetization in μB/f.u.: 0.00
E in eV/atom: -3.499

=====

Record 2
# ZnGaPd

A relaxed structure of ZnGaPd (PBE, Alexandria).

a = 3.003 Å, b = 4.264 Å, c = 7.278 Å
α = 90.00°, β = 90.00°, γ = 90.00°
Fractional positions:
Pd1 0.750 0.750 0.743
Pd2 0.250 0.250 0.257
Zn1 0.750 0.750 0.387
Zn2 0.250 0.250 0.613
Ga1 0.250 0.750 0.051
Ga2 0.750 0.250 0.949

Properties
Space group: Pmmn, No. 59
Spin magnetization in μB/f.u.: 0.00
E in eV/atom: -3.495

=====

Record 3
# ZnGa3Pd2

A relaxed structure of ZnGa3Pd2 (PBE, Alexandria).

a = 7.132 Å, b = 7.132 Å, c = 7.132 Å
α = 52.05°, β = 52.05°, γ = 52.05°
Fractional positions:
Zn1 0.500 0.500 0.500
Zn2 0.000 0.000 0.000
Ga1 0.534 0.966 0.250
Ga2 0.466 0.034 0.750
Ga3 0.034 0.750 0.466
Ga4 0.250 0.534 0.966
Ga5 0.966 0.250 0.534
Ga6 0.750 0.466 0.034
Pd1 0.146 0.146 0.146
Pd2 0.854 0.854 0.854
Pd3 0.354 0.354 0.354
Pd4 0.646 0.646 0.646

Properties
Space group: R-3c, No. 167
Spin magnetization in μB/f.u.: 0.00
E in eV/atom: -3.784

=====

Record 4
# Zn2GaPd8

A relaxed structure of Zn2GaPd8 (PBE, Alexandria).

a = 4.089 Å, b = 6.060 Å, c = 7.209 Å
α = 104.86°, β = 106.48°, γ = 90.00°
Fractional positions:
Pd1 0.402 0.543 0.805
Pd2 0.676 0.922 0.351
Pd3 0.960 0.263 0.919
Pd4 0.851 0.794 0.701
Pd5 0.598 0.457 0.195
Pd6 0.324 0.078 0.649
Pd7 0.149 0.206 0.299
Pd8 0.040 0.737 0.081
Ga1 0.500 0.000 0.000
Zn1 0.780 0.348 0.560
Zn2 0.220 0.652 0.440

Properties
Space group: C2/m, No. 12
Spin magnetization in μB/f.u.: 0.00
E in eV/atom: -4.683

=====

Record 5
# Zn12GaPd6

A relaxed structure of Zn12GaPd6 (PBE, Alexandria).

a = 6.594 Å, b = 6.594 Å, c = 6.594 Å
α = 91.68°, β = 91.68°, γ = 91.68°
Fractional positions:
Zn1 0.044 0.377 0.145
Zn2 0.438 0.531 0.802
Zn3 0.956 0.623 0.855
Zn4 0.469 0.198 0.562
Zn5 0.623 0.855 0.956
Zn6 0.562 0.469 0.198
Zn7 0.198 0.562 0.469
Zn8 0.531 0.802 0.438
Zn9 0.145 0.044 0.377
Zn10 0.802 0.438 0.531
Zn11 0.377 0.145 0.044
Zn12 0.855 0.956 0.623
Pd1 0.877 0.720 0.272
Pd2 0.123 0.280 0.728
Pd3 0.280 0.728 0.123
Pd4 0.728 0.123 0.280
Pd5 0.720 0.272 0.877
Pd6 0.272 0.877 0.720
Ga1 0.000 0.000 0.000

Properties
Space group: R-3, No. 148
Spin magnetization in μB/f.u.: 0.00
E in eV/atom: -2.955

=====

Record 6
# ZnGa5Pd3

A relaxed structure of ZnGa5Pd3 (PBE, Alexandria).

a = 6.512 Å, b = 6.512 Å, c = 10.406 Å
α = 64.55°, β = 64.55°, γ = 91.37°
Fractional positions:
Pd1 0.000 0.000 0.000
Pd2 0.338 0.338 0.669
Pd3 0.661 0.661 0.831
Pd4 0.662 0.662 0.331
Pd5 0.000 0.000 0.500
Pd6 0.339 0.339 0.169
Ga1 0.398 0.931 0.331
Ga2 0.323 0.323 0.922
Ga3 0.669 0.669 0.572
Ga4 0.069 0.602 0.669
Ga5 0.735 0.265 0.000
Ga6 0.331 0.331 0.428
Ga7 0.677 0.677 0.078
Ga8 0.602 0.069 0.669
Ga9 0.265 0.735 0.000
Ga10 0.931 0.398 0.331
Zn1 0.004 0.004 0.752
Zn2 0.996 0.996 0.248

Properties
Space group: C2/m, No. 12
Spin magnetization in μB/f.u.: 0.00
E in eV/atom: -3.854

=====

Record 7
# Zn2GaPd

A relaxed structure of Zn2GaPd (PBE, Alexandria).

a = 3.372 Å, b = 3.372 Å, c = 5.360 Å
α = 90.00°, β = 90.00°, γ = 90.00°
Fractional positions:
Pd1 0.500 0.500 0.000
Zn1 0.000 0.000 0.242
Zn2 0.000 0.000 0.758
Ga1 0.500 0.500 0.500

Properties
Space group: P4/mmm, No. 123
Spin magnetization in μB/f.u.: 0.00
E in eV/atom: -3.008

=====

Record 8
# ZnGa4Pd

A relaxed structure of ZnGa4Pd (PBE, Alexandria).

a = 6.393 Å, b = 6.393 Å, c = 6.800 Å
α = 118.04°, β = 118.04°, γ = 90.00°
Fractional positions:
Ga1 0.487 0.987 0.271
Ga2 0.987 0.784 0.271
Ga3 0.716 0.513 0.729
Ga4 0.284 0.487 0.271
Ga5 0.784 0.284 0.271
Ga6 0.013 0.216 0.729
Ga7 0.216 0.716 0.729
Ga8 0.513 0.013 0.729
Zn1 0.500 0.500 0.000
Zn2 0.000 0.000 0.000
Pd1 0.250 0.250 0.500
Pd2 0.750 0.750 0.500

Properties
Space group: I4/mcm, No. 140
Spin magnetization in μB/f.u.: 0.00
E in eV/atom: -3.352

=====

Record 9
# Zn6GaPd12

A relaxed structure of Zn6GaPd12 (PBE, Alexandria).

a = 6.976 Å, b = 6.976 Å, c = 6.976 Å
α = 101.70°, β = 101.70°, γ = 101.70°
Fractional positions:
Pd1 0.174 0.513 0.639
Pd2 0.487 0.361 0.826
Pd3 0.639 0.174 0.513
Pd4 0.513 0.639 0.174
Pd5 0.861 0.312 0.982
Pd6 0.139 0.688 0.018
Pd7 0.826 0.487 0.361
Pd8 0.018 0.139 0.688
Pd9 0.312 0.982 0.861
Pd10 0.361 0.826 0.487
Pd11 0.688 0.018 0.139
Pd12 0.982 0.861 0.312
Ga1 0.000 0.000 0.000
Zn1 0.268 0.180 0.466
Zn2 0.534 0.732 0.820
Zn3 0.732 0.820 0.534
Zn4 0.180 0.466 0.268
Zn5 0.466 0.268 0.180
Zn6 0.820 0.534 0.732

Properties
Space group: R-3, No. 148
Spin magnetization in μB/f.u.: 0.00
E in eV/atom: -4.041

=====

Record 10
# ZrZnGaPd

A relaxed structure of ZrZnGaPd (PBE, Alexandria).

a = 4.570 Å, b = 4.570 Å, c = 4.570 Å
α = 60.00°, β = 60.00°, γ = 60.00°
Fractional positions:
Ga1 0.250 0.250 0.250
Zn1 0.500 0.500 0.500
Pd1 0.750 0.750 0.750
Zr1 0.000 0.000 0.000

Properties
Space group: F-43m, No. 216
Spin magnetization in μB/f.u.: 0.00
E in eV/atom: -4.997

=====

Record 11
# Zr2GaPd8

A relaxed structure of Zr2GaPd8 (PBE, Alexandria).

a = 4.580 Å, b = 5.834 Å, c = 7.814 Å
α = 111.96°, β = 107.04°, γ = 90.00°
Fractional positions:
Pd1 0.000 0.746 0.000
Pd2 0.183 0.183 0.366
Pd3 0.363 0.124 0.726
Pd4 0.637 0.397 0.274
Pd5 0.637 0.876 0.274
Pd6 0.363 0.603 0.726
Pd7 0.817 0.817 0.634
Pd8 0.000 0.254 0.000
Zr1 0.188 0.688 0.376
Zr2 0.812 0.312 0.624
Ga1 0.500 0.000 0.000

Properties
Space group: Immm, No. 71
Spin magnetization in μB/f.u.: 0.00
E in eV/atom: -6.249

=====

Record 12
# Zr2GaPd3

A relaxed structure of Zr2GaPd3 (PBE, Alexandria).

a = 4.418 Å, b = 5.207 Å, c = 6.031 Å
α = 115.57°, β = 111.48°, γ = 90.00°
Fractional positions:
Pd1 0.365 0.365 0.731
Pd2 0.635 0.635 0.269
Pd3 0.000 0.000 0.000
Ga1 0.000 0.500 0.000
Zr1 0.696 0.196 0.391
Zr2 0.304 0.804 0.609

Properties
Space group: Immm, No. 71
Spin magnetization in μB/f.u.: 0.00
E in eV/atom: -6.368

=====

What is the E in the second record?
-3.495 eV/atom